Version A
## SnSbN (PBE)

Data for an optimized crystal structure of SnSbN.

Lattice parameters (Å, degrees): 4.662 4.662 10.705 80.94 88.58 85.31
Positions (direct):
Sn 0.330 0.232 0.536
Sn 0.018 0.845 0.770
Sb 0.776 0.680 0.531
Sb 0.571 0.396 0.774
N 0.265 0.098 0.170
N 0.097 0.973 0.136

Computed properties:
Total moment ... 0.0 Bohr magnetons per cell
SG ... No. 1

=====

Version B
## SnSbN (PBE)

Data for an optimized crystal structure of SnSbN.

Lattice parameters (Å, degrees): 4.256 4.259 11.629 99.34 97.25 90.00
Positions (direct):
N 0.444 0.919 0.831
N 0.624 0.106 0.873
Sb 0.232 0.684 0.180
Sb 0.319 0.797 0.432
Sn 0.849 0.335 0.518
Sn 0.756 0.215 0.251

Computed properties:
Total moment ... 0.0 Bohr magnetons per cell
SG ... No. 1

=====

Relative energies, unit meV/atom: version A 35; version B 0

=====

Version A
## SnSb3N (PBE)

Data for an optimized crystal structure of SnSb3N.

Lattice parameters (Å, degrees): 5.612 5.612 5.612 90.00 90.00 90.00
Positions (direct):
Sb 0.000 0.500 0.000
Sb 0.500 0.000 0.000
Sb 0.000 0.000 0.500
Sn 0.000 0.000 0.000
N 0.500 0.500 0.500

Computed properties:
Total moment ... 0.0 Bohr magnetons per cell
SG ... No. 221

=====

Version B
## SnSb3N (PBE)

Data for an optimized crystal structure of SnSb3N.

Lattice parameters (Å, degrees): 10.702 4.793 6.725 52.22 92.36 77.43
Positions (direct):
Sb 0.524 0.483 0.736
Sb 0.789 0.618 0.895
Sb 0.844 0.817 0.318
Sb 0.579 0.682 0.159
Sb 0.063 0.978 0.896
Sb 0.305 0.322 0.158
Sn 0.303 0.282 0.619
Sn 0.065 0.018 0.435
N 0.427 0.680 0.924
N 0.941 0.620 0.130

Computed properties:
Total moment ... 0.0 Bohr magnetons per cell
SG ... No. 2

=====

Relative energies, unit meV/atom: version A 1780; version B 0

=====

Version A
## Sr2SnSbN (PBE)

Data for an optimized crystal structure of Sr2SnSbN.

Lattice parameters (Å, degrees): 5.291 5.291 4.693 90.00 90.00 90.00
Positions (direct):
Sr 0.000 0.500 0.000
Sr 0.500 0.000 0.000
N 0.000 0.000 0.000
Sb 0.500 0.500 0.500
Sn 0.000 0.000 0.500

Computed properties:
Total moment ... 0.0 Bohr magnetons per cell
SG ... No. 123

=====

Version B
## Sr2SnSbN (PBE)

Data for an optimized crystal structure of Sr2SnSbN.

Lattice parameters (Å, degrees): 5.284 4.649 5.284 90.00 90.00 90.00
Positions (direct):
Sr 0.500 0.000 0.000
Sr 0.000 0.000 0.500
N 0.000 0.000 0.000
Sn 0.500 0.500 0.500
Sb 0.000 0.500 0.000

Computed properties:
Total moment ... 0.0 Bohr magnetons per cell
SG ... No. 123

=====

Relative energies, unit meV/atom: version A 0; version B 146

=====

Version A
## TaSnSbN2 (PBE)

Data for an optimized crystal structure of TaSnSbN2.

Lattice parameters (Å, degrees): 4.105 5.839 4.105 90.00 90.00 90.00
Positions (direct):
Ta 0.000 0.000 0.000
Sn 0.000 0.500 0.000
Sb 0.500 0.500 0.500
N 0.500 0.000 0.000
N 0.000 0.000 0.500

Computed properties:
Total moment ... 0.0 Bohr magnetons per cell
SG ... No. 123

=====

Version B
## TaSnSbN2 (PBE)

Data for an optimized crystal structure of TaSnSbN2.

Lattice parameters (Å, degrees): 4.046 5.840 4.046 90.00 90.00 90.00
Positions (direct):
Sn 0.000 0.500 0.000
Sb 0.000 0.000 0.000
Ta 0.500 0.500 0.500
N 0.000 0.000 0.500
N 0.500 0.000 0.000

Computed properties:
Total moment ... 0.0 Bohr magnetons per cell
SG ... No. 123

=====

Relative energies, unit meV/atom: version A 0; version B 1311

=====

Version A
## SnSb2TeN (PBE)

Data for an optimized crystal structure of SnSb2TeN.

Lattice parameters (Å, degrees): 5.658 5.658 5.591 90.00 90.00 90.00
Positions (direct):
Sn 0.000 0.000 0.000
Sb 0.000 0.500 0.000
Sb 0.500 0.000 0.000
N 0.500 0.500 0.500
Te 0.000 0.000 0.500

Computed properties:
Total moment ... 0.0 Bohr magnetons per cell
SG ... No. 123

=====

Version B
## SnSb2TeN (PBE)

Data for an optimized crystal structure of SnSb2TeN.

Lattice parameters (Å, degrees): 4.814 4.814 5.013 90.00 90.00 90.00
Positions (direct):
N 0.000 0.000 0.000
Te 0.000 0.000 0.500
Sn 0.500 0.500 0.500
Sb 0.000 0.500 0.000
Sb 0.500 0.000 0.000

Computed properties:
Total moment ... 0.0 Bohr magnetons per cell
SG ... No. 123

=====

Relative energies, unit meV/atom: version A 1423; version B 0

=====

Version A
## Sr2SbN (PBE)

Data for an optimized crystal structure of Sr2SbN.

Lattice parameters (Å, degrees): 3.765 3.765 9.730 78.84 78.84 60.00
Positions (direct):
Sr 0.118 0.118 0.646
Sr 0.882 0.882 0.354
N 0.500 0.500 0.500
Sb 0.000 0.000 0.000

Computed properties:
Total moment ... 0.0 Bohr magnetons per cell
SG ... No. 166

=====

Version B
## Sr2SbN (PBE)

Data for an optimized crystal structure of Sr2SbN.

Lattice parameters (Å, degrees): 7.682 7.682 6.728 55.18 55.18 90.00
Positions (direct):
Sb 0.750 0.250 0.500
Sb 0.000 0.000 0.000
Sr 0.375 0.469 0.750
Sr 0.219 0.625 0.250
Sr 0.531 0.125 0.250
Sr 0.875 0.781 0.750
N 0.500 0.500 0.000
N 0.250 0.750 0.500

Computed properties:
Total moment ... 0.0 Bohr magnetons per cell
SG ... No. 122

=====

Relative energies, unit meV/atom: version A 0; version B 109

=====

Version A
## Sr4Sb2N (PBE)

Data for an optimized crystal structure of Sr4Sb2N.

Lattice parameters (Å, degrees): 5.103 5.103 9.286 74.05 74.05 90.00
Each line ends with the local moment (μB).
Positions (direct):
N 0.000 0.000 0.000  0.06
Sb 0.361 0.361 0.277  0.00
Sb 0.639 0.639 0.723  0.00
Sr 0.163 0.163 0.674  0.00
Sr 0.000 0.500 0.000  0.00
Sr 0.837 0.837 0.326  0.00
Sr 0.500 0.000 0.000  0.00

Computed properties:
Total moment ... 0.1 Bohr magnetons per cell
SG ... No. 139

=====

Version B
## Sr4Sb2N (PBE)

Data for an optimized crystal structure of Sr4Sb2N.

Lattice parameters (Å, degrees): 7.204 7.142 10.140 90.00 113.43 90.00
Positions (direct):
Sr 0.964 0.250 0.662
Sr 0.908 0.250 0.062
Sr 0.527 0.490 0.721
Sr 0.036 0.750 0.338
Sr 0.092 0.750 0.938
Sr 0.473 0.990 0.279
Sr 0.473 0.510 0.279
Sr 0.527 0.010 0.721
Sb 0.196 0.250 0.424
Sb 0.804 0.750 0.576
Sb 0.603 0.750 0.019
Sb 0.397 0.250 0.981
N 0.228 0.750 0.194
N 0.772 0.250 0.806

Computed properties:
Total moment ... 0.0 Bohr magnetons per cell
SG ... No. 11

=====

Relative energies, unit meV/atom: version A 0; version B 106

=====

Version A
## SrSb2TeN (PBE)

Data for an optimized crystal structure of SrSb2TeN.

Lattice parameters (Å, degrees): 4.856 4.856 5.187 90.00 90.00 90.00
Positions (direct):
Sb 0.500 0.000 0.000
Sb 0.000 0.500 0.000
N 0.000 0.000 0.000
Sr 0.500 0.500 0.500
Te 0.000 0.000 0.500

Computed properties:
Total moment ... 0.0 Bohr magnetons per cell
SG ... No. 123

=====

Version B
## SrSb2TeN (PBE)

Data for an optimized crystal structure of SrSb2TeN.

Lattice parameters (Å, degrees): 6.177 6.177 6.077 90.00 90.00 90.00
Each line ends with the local moment (μB).
Positions (direct):
N 0.500 0.500 0.500  0.70
Sb 0.500 0.000 0.000  -0.02
Sb 0.000 0.500 0.000  -0.02
Te 0.000 0.000 0.500  0.06
Sr 0.000 0.000 0.000  0.00

Computed properties:
Total moment ... 1.1 Bohr magnetons per cell
SG ... No. 123

=====

Relative energies, unit meV/atom: version A 0; version B 1605